The following is a PBE calculation of a geometry-optimized LaTb4Sm6 structure, from Alexandria.

Summary:
As for the space-group type: No. 121. Its density of states at the Fermi level is 14.42 states/eV per cell. For the total moment, the calculation gives 0.0 Bohr magnetons per cell. The value obtained for the energy of formation is 4.18 eV/f.u.

Lattice parameters (Å, degrees): 7.7087 7.7087 8.5891 116.66 116.66 90.00
Sites, in units of the cell vectors:
Sm 0.0000 0.5000 0.0000
Sm 0.5000 0.0000 0.0000
Sm 0.5513 0.5513 0.6234
Sm 0.9279 0.4487 0.3766
Sm 0.0721 0.0721 0.6234
Sm 0.4487 0.9279 0.3766
La 0.5000 0.5000 0.0000
Tb 0.7579 0.0872 0.8451
Tb 0.9128 0.9128 0.1549
Tb 0.0872 0.7579 0.8451
Tb 0.2421 0.2421 0.1549

***

The following is a PBE calculation of a geometry-optimized Ac2TbHoSe5 structure, from Alexandria.

Summary:
As for the space-group type: No. 123. Its density of states at the Fermi level is 4.81 states/eV per cell. For the total moment, the calculation gives 0.0 Bohr magnetons per cell. The uncorrected formation energy comes out at -1483 meV per atom.

Lattice parameters (Å, degrees): 5.1397 5.1397 10.9136 90.00 90.00 90.00
Sites, in units of the cell vectors:
Ac 0.5000 0.5000 0.7103
Ac 0.5000 0.5000 0.2897
Ho 0.0000 0.0000 0.5000
Se 0.0000 0.0000 0.7549
Se 0.0000 0.5000 0.5000
Se 0.0000 0.0000 0.2451
Se 0.5000 0.0000 0.5000
Se 0.5000 0.5000 0.0000
Tb 0.0000 0.0000 0.0000

***

The following is a PBE calculation of a geometry-optimized Ta3BiCl structure, from Alexandria.

Summary:
As for the space-group type: No. 221. Its relative energy among the computed polymorphs is 1573 meV per atom. Its density of states at the Fermi level is 6.29 states/eV per cell. For the total moment, the calculation gives 0.0 Bohr magnetons per cell. The uncorrected formation energy comes out at 2528 meV per atom.

Lattice parameters (Å, degrees): 5.2443 5.2443 5.2443 90.00 90.00 90.00
Sites, in units of the cell vectors:
Ta 0.0000 0.0000 0.5000
Ta 0.0000 0.5000 0.0000
Ta 0.5000 0.0000 0.0000
Bi 0.0000 0.0000 0.0000
Cl 0.5000 0.5000 0.5000

***

The following is a PBE calculation of a geometry-optimized CaP2Br structure, from Alexandria.

Summary:
As for the space-group type: No. 6. Its relative energy among the computed polymorphs is 0 meV per atom. Its density of states at the Fermi level is 0.75 states/eV per cell. For the total moment, the calculation gives 0.0 Bohr magnetons per cell. The uncorrected formation energy comes out at -833 meV per atom.

Lattice parameters (Å, degrees): 3.5314 3.8717 7.8804 81.05 90.00 90.00
Sites, in units of the cell vectors:
Ca 0.5000 0.8750 0.7697
P 0.0000 0.9199 0.0641
P 0.5000 0.2702 0.0763
Br 0.0000 0.4348 0.5899

***

The following is a PBE calculation of a geometry-optimized NdHoZr2 structure, from Alexandria.

Summary:
As for the space-group type: No. 123. Its relative energy among the computed polymorphs is 0 meV per atom. Its density of states at the Fermi level is 4.65 states/eV per cell. For the total moment, the calculation gives 0.0 Bohr magnetons per cell. The value obtained for the energy of formation is 0.64 eV/f.u.

Lattice parameters (Å, degrees): 4.8300 4.7452 4.7452 90.00 90.00 90.00
Sites, in units of the cell vectors:
Zr 0.0000 0.0000 0.5000
Zr 0.0000 0.5000 0.0000
Ho 0.5000 0.0000 0.0000
Nd 0.5000 0.5000 0.5000

***

The following is a PBE calculation of a geometry-optimized MgBe2Au structure, from Alexandria.

Summary:
As for the space-group type: No. 47. Its density of states at the Fermi level is 0.59 states/eV per cell. For the total moment, the calculation gives 0.0 Bohr magnetons per cell. The value obtained for the energy of formation is 0.18 eV/f.u.

Lattice parameters (Å, degrees): 4.1380 3.0966 4.6479 89.99 90.00 90.00
Sites, in units of the cell vectors:
Be 0.0000 0.7507 0.0023
Be 0.0000 0.7493 0.4977
Au 0.5000 0.7500 0.7500
Mg 0.5000 0.2500 0.2500

***

The following is a PBE calculation of a geometry-optimized TcAsOs3 structure, from Alexandria.

Summary:
As for the space-group type: No. 221. Its relative energy among the computed polymorphs is 0 meV per atom. Its density of states at the Fermi level is 5.99 states/eV per cell. For the total moment, the calculation gives 3.1 Bohr magnetons per cell. The value obtained for the energy of formation is 9.24 eV/f.u.

Lattice parameters (Å, degrees): 4.4893 4.4893 4.4893 90.00 90.00 90.00
Site moments in Bohr magnetons follow the coordinates.
Sites, in units of the cell vectors:
Os 0.0000 0.0000 0.5000  0.11
Os 0.0000 0.5000 0.0000  0.01
Os 0.5000 0.0000 0.0000  -0.05
As 0.0000 0.0000 0.0000  0.05
Tc 0.5000 0.5000 0.5000  2.72

***

The following is a PBE calculation of a geometry-optimized ZnPd4Au3 structure, from Alexandria.

Summary:
As for the space-group type: No. 139. Its relative energy among the computed polymorphs is 0 meV per atom. Its density of states at the Fermi level is 7.25 states/eV per cell. For the total moment, the calculation gives 0.0 Bohr magnetons per cell. The value obtained for the energy of formation is -1.65 eV/f.u.

Lattice parameters (Å, degrees): 4.1012 4.1010 8.2212 104.46 104.46 89.97
Sites, in units of the cell vectors:
Au 0.0000 0.5000 0.0000
Au 0.7499 0.2499 0.4999
Au 0.2501 0.7501 0.5001
Pd 0.6201 0.6197 0.2402
Pd 0.1198 0.1200 0.2402
Pd 0.3799 0.3803 0.7598
Pd 0.8802 0.8800 0.7598
Zn 0.5000 0.0000 0.0000

***

The following is a PBE calculation of a geometry-optimized Cs2KH2 structure, from Alexandria.

Summary:
As for the space-group type: No. 72. Its relative energy among the computed polymorphs is 0 meV per atom. Its density of states at the Fermi level is 5.33 states/eV per cell. For the total moment, the calculation gives 1.8 Bohr magnetons per cell.

Lattice parameters (Å, degrees): 9.0776 8.3562 8.3562 53.90 57.10 57.10
Sites, in units of the cell vectors:
K 0.7500 0.5000 0.5000
K 0.2500 0.5000 0.5000
Cs 0.1674 0.9175 0.7477
Cs 0.6674 0.7477 0.9175
Cs 0.8326 0.0825 0.2523
Cs 0.3326 0.2523 0.0825
H 0.4379 0.7787 0.3456
H 0.0621 0.6544 0.2213
H 0.9379 0.3456 0.7787
H 0.5621 0.2213 0.6544

***

The following is a PBE calculation of a geometry-optimized HoErP2 structure, from Alexandria.

Summary:
As for the space-group type: No. 166. Its relative energy among the computed polymorphs is 1 meV per atom. Its density of states at the Fermi level is 0.47 states/eV per cell. For the total moment, the calculation gives 0.0 Bohr magnetons per cell. The value obtained for the energy of formation is -6.46 eV/f.u.

Lattice parameters (Å, degrees): 3.9789 3.9789 6.8866 73.19 73.19 60.02
Sites, in units of the cell vectors:
P 0.2496 0.2496 0.2512
P 0.7504 0.7504 0.7488
Er 0.5000 0.5000 0.5000
Ho 0.0000 0.0000 0.0000

***

The following is a PBE calculation of a geometry-optimized ZrH structure, from Alexandria.

Summary:
The value obtained for the total energy is -6.29 eV per atom. As for the space-group type: No. 119. Its density of states at the Fermi level is 1.79 states/eV per cell. For the total moment, the calculation gives 0.0 Bohr magnetons per cell.

Lattice parameters (Å, degrees): 3.3971 3.3971 3.3971 122.10 122.10 86.40
Sites, in units of the cell vectors:
Zr 0.0000 0.0000 0.0000
H 0.7500 0.2500 0.5000

***

The following is a PBE calculation of a geometry-optimized Tl2CdTe2 structure, from Alexandria.

Summary:
As for the space-group type: No. 139. Its relative energy among the computed polymorphs is 330 meV per atom. Its density of states at the Fermi level is 1.65 states/eV per cell. For the total moment, the calculation gives 0.0 Bohr magnetons per cell. The uncorrected formation energy comes out at -9 meV per atom.

Lattice parameters (Å, degrees): 4.5656 4.5656 9.0619 75.41 75.41 90.00
Sites, in units of the cell vectors:
Tl 0.6010 0.6010 0.7980
Tl 0.3990 0.3990 0.2020
Te 0.2500 0.7500 0.5000
Te 0.7500 0.2500 0.5000
Cd 0.0000 0.0000 0.0000

***

Question: The highest total moment belongs to which entry?
Answer: TcAsOs3